11
Lattice="3.939 -0.019 0.012 0.039 7.352 -2.857 -0.033 -1.100 7.811" Properties=species:S:1:pos:R:3 comment="Cs2Cr2F7 | Alexandria via LeMat-Bulk | GGA+U | relaxed" total_energy_ev_per_atom=-5.40 mass_density_g_cm3=3.90 dos_ef_per_ev_fu=0.2 total_magnetization_mub_per_fu=7.00 pbc="T T T"
Cs 1.992 5.311 -0.287
Cs 1.954 0.923 5.252
Cr 0.005 1.574 1.247
Cr 3.940 4.660 3.719
F 0.016 2.894 -0.170
F 3.950 5.738 2.110
F 3.930 3.340 5.136
F -0.005 0.496 2.856
F 1.970 4.445 3.535
F 0.000 0.000 0.000
F 1.976 1.789 1.430